# 1
Pm7Hg2Pd2: relaxed, PBE-GGA.

Computed properties:
DFT total energy	-0.3184	Ry per atom
space-group type	Cmmm

Unit cell a=6.971 b=6.971 c=7.349 alpha=90.00 beta=90.00 gamma=108.50
Fractional positions:
Pm1 0.000 0.000 0.000
Pm2 0.000 0.500 0.260
Pm3 0.000 0.500 0.740
Pm4 0.500 0.000 0.260
Pm5 0.500 0.000 0.740
Pm6 0.500 0.500 0.252
Pm7 0.500 0.500 0.748
Hg1 0.178 0.178 0.500
Hg2 0.822 0.822 0.500
Pd1 0.292 0.708 0.000
Pd2 0.708 0.292 0.000

# 2
Sm6BiTe2Pb3: relaxed, PBE-GGA.

Computed properties:
formation energy (no corrections)	-0.89	eV/atom
DFT total energy	-0.3694	Ry per atom
space-group type	C2/m

Unit cell a=10.149 b=10.149 c=9.101 alpha=104.48 beta=104.48 gamma=25.46
Fractional positions:
Sm1 0.000 0.000 0.249
Sm2 0.000 0.000 0.751
Sm3 0.332 0.332 0.420
Sm4 0.334 0.334 0.915
Sm5 0.666 0.666 0.085
Sm6 0.668 0.668 0.580
Bi1 0.500 0.500 0.500
Te1 0.167 0.167 0.833
Te2 0.833 0.833 0.167
Pb1 0.167 0.167 0.332
Pb2 0.500 0.500 0.000
Pb3 0.833 0.833 0.668

> The highest DFT total energy belongs to which entry?

Pm7Hg2Pd2